Compound: SrU6S8
Source: Alexandria via LeMat-Bulk
Functional: PBE
Structure: optimized geometry

a b c (Å): 7.3082 7.3082 7.3082
angles (deg): 91.88 91.88 91.88
Last column: magnetic moment on the atom in μB.
Element x y z (fractional)
Sr 0.0000 0.0000 0.0000  0.00
U 0.5197 0.4042 0.7717  0.56
U 0.4042 0.7717 0.5197  0.56
U 0.7717 0.5197 0.4042  0.56
U 0.4803 0.5958 0.2283  0.56
U 0.5958 0.2283 0.4803  0.56
U 0.2283 0.4803 0.5958  0.56
S 0.7190 0.7190 0.7190  -0.01
S 0.2810 0.2810 0.2810  -0.01
S 0.6529 0.9278 0.2844  -0.01
S 0.9278 0.2844 0.6529  -0.01
S 0.2844 0.6529 0.9278  -0.01
S 0.3471 0.0722 0.7156  -0.01
S 0.0722 0.7156 0.3471  -0.01
S 0.7156 0.3471 0.0722  -0.01

## Properties
* formation energy without anion corrections: -16.1 eV/f.u.
* ρ: 7.55 Mg/m³
* DOS(E_F): 21.08 states/eV per cell
* space-group type: R-3

---

Compound: Sr5US8
Source: Alexandria via LeMat-Bulk
Functional: PBE
Structure: optimized geometry

a b c (Å): 7.6292 7.6292 7.6292
angles (deg): 109.99 108.45 109.99
Last column: magnetic moment on the atom in μB.
Element x y z (fractional)
Sr 0.9946 0.3827 0.1304  0.00
Sr 0.8696 0.8642 0.2523  0.00
Sr 0.7477 0.6173 0.6118  0.00
Sr 0.5000 0.0000 0.5000  0.00
Sr 0.3882 0.1358 0.0054  0.00
U 0.2500 0.5000 0.7500  0.11
S 0.1352 0.7233 0.9872  -0.01
S 0.0128 0.1480 0.7361  -0.01
S 0.7896 0.2534 0.3868  0.00
S 0.6132 0.4028 0.8665  0.00
S 0.4638 0.5972 0.2104  0.00
S 0.5881 0.8520 0.8648  -0.01
S 0.2639 0.2767 0.4119  -0.01
S 0.1335 0.7466 0.5362  0.00

## Properties
* formation energy without anion corrections: -24.6 eV/f.u.
* ρ: 4.53 Mg/m³
* DOS(E_F): 2.08 states/eV per cell
* space-group type: I-4

---

Compound: SrU4S8
Source: Alexandria via LeMat-Bulk
Functional: PBE
Structure: optimized geometry

a b c (Å): 7.9656 7.9656 8.1986
angles (deg): 103.45 104.86 119.78
Last column: magnetic moment on the atom in μB.
Element x y z (fractional)
Sr 0.0000 0.5000 0.5000  0.02
U 0.2469 0.2469 0.0000  2.37
U 0.7531 0.7531 0.0000  2.37
U 0.2666 0.7687 0.0353  2.36
U 0.7334 0.2313 0.9647  2.36
S 0.7045 0.0380 0.2060  -0.06
S 0.1680 0.5015 0.2060  -0.06
S 0.6887 0.5037 0.1924  -0.07
S 0.1848 0.0266 0.2113  -0.07
S 0.8152 0.9734 0.7887  -0.07
S 0.3113 0.4963 0.8076  -0.07
S 0.8320 0.4985 0.7940  -0.06
S 0.2955 0.9620 0.7940  -0.06

## Properties
* formation energy without anion corrections: -19.3 eV/f.u.
* ρ: 5.46 Mg/m³
* DOS(E_F): 14.52 states/eV per cell
* energy above the lowest structure with this stoichiometry: 0.000 eV/atom
* space-group type: C2/m

---

Compound: SrY2US8
Source: Alexandria via LeMat-Bulk
Functional: PBE
Structure: optimized geometry

a b c (Å): 6.7527 5.5982 8.3928
angles (deg): 89.78 90.01 89.04
Element x y z (fractional)
Sr 0.0000 0.0000 0.5000
Y 0.5001 0.4986 0.7699
Y 0.4999 0.5014 0.2301
U 0.0000 0.0000 0.0000
S 0.1467 0.7428 0.2209
S 0.6681 0.7577 0.9988
S 0.8510 0.2548 0.2192
S 0.8533 0.2572 0.7791
S 0.3319 0.2423 0.0012
S 0.1490 0.7452 0.7808
S 0.5664 0.8264 0.5000
S 0.4336 0.1736 0.5000

## Properties
* formation energy without anion corrections: -17.2 eV/f.u.
* ρ: 3.98 Mg/m³
* space-group type: P-1

---

Compound: Sr2YUS6
Source: Alexandria via LeMat-Bulk
Functional: PBE
Structure: optimized geometry

a b c (Å): 6.9593 7.4285 10.1285
angles (deg): 90.00 89.92 90.00
Last column: magnetic moment on the atom in μB.
Element x y z (fractional)
Sr 0.0267 0.9206 0.2508  0.00
Sr 0.5267 0.5794 0.7508  0.00
Sr 0.9733 0.0794 0.7492  0.00
Sr 0.4733 0.4206 0.2492  0.00
Y 0.5000 0.0000 0.0000  -0.01
Y 0.0000 0.5000 0.5000  -0.01
U 0.5000 0.0000 0.5000  1.20
U 0.0000 0.5000 0.0000  1.20
S 0.3029 0.6907 0.0579  -0.03
S 0.8029 0.8093 0.5579  -0.03
S 0.6971 0.3093 0.9421  -0.03
S 0.1971 0.1907 0.4421  -0.03
S 0.3149 0.7016 0.4392  -0.03
S 0.8149 0.7984 0.9392  -0.03
S 0.6851 0.2984 0.5608  -0.03
S 0.1851 0.2016 0.0608  -0.03
S 0.8866 0.5356 0.2446  -0.03
S 0.3866 0.9644 0.7446  -0.03
S 0.1134 0.4644 0.7554  -0.03
S 0.6134 0.0356 0.2554  -0.03

## Properties
* formation energy without anion corrections: -18.5 eV/f.u.
* ρ: 4.41 Mg/m³
* DOS(E_F): 0.77 states/eV per cell
* space-group type: P2_1/c

---

Compound: SrZr2US8
Source: Alexandria via LeMat-Bulk
Functional: PBE
Structure: optimized geometry

a b c (Å): 6.4154 6.0684 7.8670
angles (deg): 90.00 90.00 89.52
Element x y z (fractional)
Sr 0.0000 0.0000 0.5000
Zr 0.5000 0.5000 0.7435
Zr 0.5000 0.5000 0.2565
U 0.0000 0.0000 0.0000
S 0.1752 0.7514 0.2140
S 0.6745 0.7267 0.0000
S 0.8248 0.2486 0.2140
S 0.8248 0.2486 0.7860
S 0.3255 0.2733 0.0000
S 0.1752 0.7514 0.7860
S 0.6286 0.7300 0.5000
S 0.3714 0.2700 0.5000

## Properties
* formation energy without anion corrections: -16.2 eV/f.u.
* ρ: 4.15 Mg/m³
* space-group type: P2/m

---

no.,total moment (Bohr magnetons per cell)
1,3.4
2,0.0
3,10.0
4,0.0
5,2.0
6,0.0